(1)
DFT (meta-GGA SCAN) results for a PBEsol-optimized structure of TaAs5.

## Properties
* total DFT energy (no corrections): -1.022 Ha/atom
* space group: No. 38
* DFT formation energy: 66 kJ/mol of formula units
* offset from the most stable computed form: 0.0 kJ/mol of formula units
* DOS at the Fermi energy: 2.345 states/eV per cell
* ρ: 8.03 g/cm3

Structure (CIF):
```
data_TaAs5
_chemical_formula_sum 'Ta1 As5'
_space_group_name_H-M_alt 'P 1'
_space_group_IT_number 1
_space_group_name_Hall 'P 1'
_cell_length_a 3.355
_cell_length_b 4.779
_cell_length_c 7.361
_cell_angle_alpha 90.00
_cell_angle_beta 103.17
_cell_angle_gamma 90.00
loop_
_atom_site_label
_atom_site_type_symbol
_atom_site_fract_x
_atom_site_fract_y
_atom_site_fract_z
_atom_site_occupancy
As1 As 0.011 0.000 0.023 1
As2 As 0.665 0.000 0.330 1
As3 As 0.741 0.500 0.481 1
Ta1 Ta 0.094 0.500 0.188 1
As4 As 0.373 0.000 0.746 1
As5 As 0.449 0.500 0.899 1
```


(2)
DFT (meta-GGA SCAN) results for a PBEsol-optimized structure of CoNiRh2.

## Properties
* total DFT energy (no corrections): -0.928 Ha/atom
* space group: No. 139
* DFT formation energy: 3 kJ/mol of formula units
* offset from the most stable computed form: 0.0 kJ/mol of formula units
* DOS at the Fermi energy: 3.114 states/eV per cell
* ρ: 11.18 g/cm3

Structure (CIF):
```
data_CoNiRh2
_chemical_formula_sum 'Co1 Ni1 Rh2'
_space_group_name_H-M_alt 'P 1'
_space_group_IT_number 1
_space_group_name_Hall 'P 1'
_cell_length_a 3.678
_cell_length_b 3.678
_cell_length_c 4.402
_cell_angle_alpha 114.70
_cell_angle_beta 114.70
_cell_angle_gamma 90.00
loop_
_atom_site_label
_atom_site_type_symbol
_atom_site_fract_x
_atom_site_fract_y
_atom_site_fract_z
_atom_site_occupancy
Ni1 Ni 0.000 0.000 0.000 1
Rh1 Rh 0.250 0.750 0.500 1
Co1 Co 0.500 0.500 0.000 1
Rh2 Rh 0.750 0.250 0.500 1
```


(3)
DFT (meta-GGA SCAN) results for a PBEsol-optimized structure of Rb2Pb4O7.

## Properties
* total DFT energy (no corrections): -1.142 Ha/atom
* space group: No. 2
* ΔE_f (raw): -1.201 eV/atom
* ρ: 7.49 g/cm3

Structure (CIF):
```
data_Rb2Pb4O7
_chemical_formula_sum 'Rb4 Pb8 O14'
_space_group_name_H-M_alt 'P 1'
_space_group_IT_number 1
_space_group_name_Hall 'P 1'
_cell_length_a 6.684
_cell_length_b 7.320
_cell_length_c 10.444
_cell_angle_alpha 101.92
_cell_angle_beta 99.20
_cell_angle_gamma 90.03
loop_
_atom_site_label
_atom_site_type_symbol
_atom_site_fract_x
_atom_site_fract_y
_atom_site_fract_z
_atom_site_occupancy
O1 O 0.160 0.844 0.639 1
O2 O 0.037 0.345 0.166 1
Rb1 Rb 0.424 0.170 0.686 1
Pb1 Pb 0.743 0.607 0.969 1
Pb2 Pb 0.904 0.651 0.625 1
O3 O 0.546 0.348 0.165 1
Pb3 Pb 0.096 0.349 0.375 1
O4 O 0.148 0.435 0.596 1
Pb4 Pb 0.234 0.842 0.936 1
O5 O 0.727 0.307 0.903 1
O6 O 0.650 0.435 0.596 1
O7 O 0.840 0.156 0.361 1
O8 O 0.852 0.565 0.404 1
Pb5 Pb 0.257 0.393 0.031 1
O9 O 0.273 0.693 0.097 1
O10 O 0.655 0.841 0.621 1
O11 O 0.963 0.655 0.834 1
Rb2 Rb 0.576 0.830 0.314 1
Pb6 Pb 0.408 0.650 0.625 1
Pb7 Pb 0.592 0.350 0.375 1
Rb3 Rb 0.919 0.170 0.687 1
O12 O 0.454 0.652 0.835 1
Rb4 Rb 0.081 0.830 0.313 1
O13 O 0.345 0.159 0.379 1
O14 O 0.350 0.565 0.404 1
Pb8 Pb 0.766 0.158 0.064 1
```


(4)
DFT (meta-GGA SCAN) results for a PBEsol-optimized structure of MgGa2.

## Properties
* total DFT energy (no corrections): -0.468 Ha/atom
* space group: No. 55
* DFT formation energy: -54 kJ/mol of formula units
* DOS at the Fermi energy: 6.801 states/eV per cell
* ρ: 4.91 g/cm3

Structure (CIF):
```
data_MgGa2
_chemical_formula_sum 'Mg8 Ga16'
_space_group_name_H-M_alt 'P 1'
_space_group_IT_number 1
_space_group_name_Hall 'P 1'
_cell_length_a 4.083
_cell_length_b 6.675
_cell_length_c 16.240
_cell_angle_alpha 90.00
_cell_angle_beta 90.00
_cell_angle_gamma 90.00
loop_
_atom_site_label
_atom_site_type_symbol
_atom_site_fract_x
_atom_site_fract_y
_atom_site_fract_z
_atom_site_occupancy
Ga1 Ga 0.500 0.027 0.158 1
Ga2 Ga 0.500 0.645 0.062 1
Ga3 Ga 0.500 0.855 0.562 1
Mg1 Mg 0.000 0.173 0.578 1
Mg2 Mg 0.000 0.827 0.422 1
Ga4 Ga 0.500 0.145 0.438 1
Mg3 Mg 0.000 0.202 0.279 1
Ga5 Ga 0.500 0.909 0.309 1
Ga6 Ga 0.500 0.355 0.938 1
Ga7 Ga 0.500 0.473 0.658 1
Mg4 Mg 0.000 0.327 0.078 1
Ga8 Ga 0.000 0.600 0.567 1
Mg5 Mg 0.000 0.798 0.721 1
Ga9 Ga 0.000 0.900 0.067 1
Ga10 Ga 0.500 0.409 0.191 1
Mg6 Mg 0.000 0.673 0.922 1
Mg7 Mg 0.000 0.298 0.779 1
Ga11 Ga 0.000 0.400 0.433 1
Ga12 Ga 0.500 0.527 0.342 1
Ga13 Ga 0.500 0.091 0.691 1
Ga14 Ga 0.500 0.591 0.809 1
Mg8 Mg 0.000 0.702 0.221 1
Ga15 Ga 0.000 0.100 0.933 1
Ga16 Ga 0.500 0.973 0.842 1
```


(5)
DFT (meta-GGA SCAN) results for a PBEsol-optimized structure of Zn5Fe3.

## Properties
* total DFT energy (no corrections): -0.562 Ha/atom
* space group: No. 65
* DFT formation energy: -42 kJ/mol of formula units
* DOS at the Fermi energy: 2.620 states/eV per cell
* ρ: 8.35 g/cm3

Structure (CIF):
```
data_Zn5Fe3
_chemical_formula_sum 'Zn5 Fe3'
_space_group_name_H-M_alt 'P 1'
_space_group_IT_number 1
_space_group_name_Hall 'P 1'
_cell_length_a 3.601
_cell_length_b 5.229
_cell_length_c 5.229
_cell_angle_alpha 92.88
_cell_angle_beta 90.00
_cell_angle_gamma 90.00
loop_
_atom_site_label
_atom_site_type_symbol
_atom_site_fract_x
_atom_site_fract_y
_atom_site_fract_z
_atom_site_occupancy
Zn1 Zn 0.000 0.000 0.000 1
Zn2 Zn 0.000 0.000 0.500 1
Zn3 Zn 0.500 0.746 0.254 1
Fe1 Fe 0.000 0.500 0.500 1
Fe2 Fe 0.500 0.258 0.258 1
Zn4 Zn 0.000 0.500 0.000 1
Zn5 Zn 0.500 0.254 0.746 1
Fe3 Fe 0.500 0.742 0.742 1
```


(6)
DFT (meta-GGA SCAN) results for a PBEsol-optimized structure of BiRu3O.

## Properties
* total DFT energy (no corrections): -1.373 Ha/atom
* space group: No. 221
* ΔE_f (raw): 0.483 eV/atom
* DOS at the Fermi energy: 4.060 states/eV per cell
* ρ: 12.33 g/cm3

Structure (CIF):
```
data_BiRu3O
_chemical_formula_sum 'Bi1 Ru3 O1'
_space_group_name_H-M_alt 'P 1'
_space_group_IT_number 1
_space_group_name_Hall 'P 1'
_cell_length_a 4.143
_cell_length_b 4.143
_cell_length_c 4.143
_cell_angle_alpha 90.00
_cell_angle_beta 90.00
_cell_angle_gamma 90.00
loop_
_atom_site_label
_atom_site_type_symbol
_atom_site_fract_x
_atom_site_fract_y
_atom_site_fract_z
_atom_site_occupancy
Ru1 Ru 0.000 0.500 0.000 1
Bi1 Bi 0.500 0.500 0.500 1
Ru2 Ru 0.500 0.000 0.000 1
Ru3 Ru 0.000 0.000 0.500 1
O1 O 0.000 0.000 0.000 1
```


(7)
DFT (meta-GGA SCAN) results for a PBEsol-optimized structure of K2LiY.

## Properties
* total DFT energy (no corrections): -0.418 Ha/atom
* space group: No. 166
* DFT formation energy: 138 kJ/mol of formula units
* DOS at the Fermi energy: 3.510 states/eV per cell
* ρ: 1.79 g/cm3

Structure (CIF):
```
data_K2LiY
_chemical_formula_sum 'K2 Li1 Y1'
_space_group_name_H-M_alt 'P 1'
_space_group_IT_number 1
_space_group_name_Hall 'P 1'
_cell_length_a 3.718
_cell_length_b 3.718
_cell_length_c 13.621
_cell_angle_alpha 82.15
_cell_angle_beta 82.15
_cell_angle_gamma 60.00
loop_
_atom_site_label
_atom_site_type_symbol
_atom_site_fract_x
_atom_site_fract_y
_atom_site_fract_z
_atom_site_occupancy
K1 K 0.247 0.247 0.258 1
Li1 Li 0.500 0.500 0.500 1
K2 K 0.753 0.753 0.742 1
Y1 Y 0.000 0.000 0.000 1
```


(8)
DFT (meta-GGA SCAN) results for a PBEsol-optimized structure of CeY4Rh5.

## Properties
* total DFT energy (no corrections): -1.227 Ha/atom
* space group: No. 123
* DFT formation energy: -874 kJ/mol of formula units
* DOS at the Fermi energy: 6.068 states/eV per cell
* ρ: 8.64 g/cm3

Structure (CIF):
```
data_CeY4Rh5
_chemical_formula_sum 'Ce1 Y4 Rh5'
_space_group_name_H-M_alt 'P 1'
_space_group_IT_number 1
_space_group_name_Hall 'P 1'
_cell_length_a 3.361
_cell_length_b 3.361
_cell_length_c 17.193
_cell_angle_alpha 90.00
_cell_angle_beta 90.00
_cell_angle_gamma 90.00
loop_
_atom_site_label
_atom_site_type_symbol
_atom_site_fract_x
_atom_site_fract_y
_atom_site_fract_z
_atom_site_occupancy
Y1 Y 0.000 0.000 0.599 1
Y2 Y 0.000 0.000 0.798 1
Rh1 Rh 0.500 0.500 0.500 1
Rh2 Rh 0.500 0.500 0.700 1
Rh3 Rh 0.500 0.500 0.300 1
Y3 Y 0.000 0.000 0.401 1
Y4 Y 0.000 0.000 0.202 1
Rh4 Rh 0.500 0.500 0.098 1
Rh5 Rh 0.500 0.500 0.902 1
Ce1 Ce 0.000 0.000 0.000 1
```


(9)
DFT (meta-GGA SCAN) results for a PBEsol-optimized structure of MnSiRh2.

## Properties
* total DFT energy (no corrections): -0.907 Ha/atom
* space group: No. 65
* ΔE_f (raw): -0.732 eV/atom
* DOS at the Fermi energy: 1.795 states/eV per cell
* ρ: 9.36 g/cm3

Structure (CIF):
```
data_MnSiRh2
_chemical_formula_sum 'Mn1 Si1 Rh2'
_space_group_name_H-M_alt 'P 1'
_space_group_IT_number 1
_space_group_name_Hall 'P 1'
_cell_length_a 2.843
_cell_length_b 4.270
_cell_length_c 4.270
_cell_angle_alpha 98.61
_cell_angle_beta 90.00
_cell_angle_gamma 90.00
loop_
_atom_site_label
_atom_site_type_symbol
_atom_site_fract_x
_atom_site_fract_y
_atom_site_fract_z
_atom_site_occupancy
Rh1 Rh 0.000 0.000 0.500 1
Si1 Si 0.500 0.000 0.000 1
Mn1 Mn 0.500 0.500 0.500 1
Rh2 Rh 0.000 0.500 0.000 1
```


(10)
DFT (meta-GGA SCAN) results for a PBEsol-optimized structure of POs2Cl.

## Properties
* total DFT energy (no corrections): -1.451 Ha/atom
* space group: No. 225
* ΔE_f (raw): 1.049 eV/atom
* offset from the most stable computed form: 324.8 kJ/mol of formula units
* DOS at the Fermi energy: 1.914 states/eV per cell
* ρ: 13.98 g/cm3

Structure (CIF):
```
data_POs2Cl
_chemical_formula_sum 'P1 Os2 Cl1'
_space_group_name_H-M_alt 'P 1'
_space_group_IT_number 1
_space_group_name_Hall 'P 1'
_cell_length_a 4.218
_cell_length_b 4.218
_cell_length_c 4.218
_cell_angle_alpha 60.00
_cell_angle_beta 60.00
_cell_angle_gamma 60.00
loop_
_atom_site_label
_atom_site_type_symbol
_atom_site_fract_x
_atom_site_fract_y
_atom_site_fract_z
_atom_site_occupancy
Os1 Os 0.250 0.250 0.250 1
P1 P 0.000 0.000 0.000 1
Os2 Os 0.750 0.750 0.750 1
Cl1 Cl 0.500 0.500 0.500 1
```


(11)
DFT (meta-GGA SCAN) results for a PBEsol-optimized structure of HgPtSe2.

## Properties
* total DFT energy (no corrections): -1.651 Ha/atom
* space group: No. 12
* ΔE_f (raw): -0.306 eV/atom
* offset from the most stable computed form: 13.1 kJ/mol of formula units
* ρ: 9.91 g/cm3

Structure (CIF):
```
data_HgPtSe2
_chemical_formula_sum 'Hg1 Pt1 Se2'
_space_group_name_H-M_alt 'P 1'
_space_group_IT_number 1
_space_group_name_Hall 'P 1'
_cell_length_a 3.664
_cell_length_b 4.560
_cell_length_c 6.329
_cell_angle_alpha 105.30
_cell_angle_beta 90.00
_cell_angle_gamma 113.69
loop_
_atom_site_label
_atom_site_type_symbol
_atom_site_fract_x
_atom_site_fract_y
_atom_site_fract_z
_atom_site_occupancy
Se1 Se 0.838 0.677 0.784 1
Se2 Se 0.162 0.323 0.216 1
Pt1 Pt 0.500 0.000 0.000 1
Hg1 Hg 0.000 0.000 0.500 1
```


(12)
DFT (meta-GGA SCAN) results for a PBEsol-optimized structure of Mg14TiVO16.

## Properties
* total DFT energy (no corrections): -0.340 Ha/atom
* space group: No. 47
* ΔE_f (raw): -2.902 eV/atom
* DOS at the Fermi energy: 1.339 states/eV per cell
* ρ: 3.80 g/cm3

Structure (CIF):
```
data_Mg14TiVO16
_chemical_formula_sum 'Mg14 Ti1 V1 O16'
_space_group_name_H-M_alt 'P 1'
_space_group_IT_number 1
_space_group_name_Hall 'P 1'
_cell_length_a 4.223
_cell_length_b 8.491
_cell_length_c 8.478
_cell_angle_alpha 90.00
_cell_angle_beta 90.00
_cell_angle_gamma 90.00
loop_
_atom_site_label
_atom_site_type_symbol
_atom_site_fract_x
_atom_site_fract_y
_atom_site_fract_z
_atom_site_occupancy
O1 O 0.500 0.000 0.000 1
O2 O 0.500 0.500 0.500 1
O3 O 0.500 0.250 0.249 1
Mg1 Mg 0.000 0.750 0.250 1
Mg2 Mg 0.500 0.750 0.500 1
O4 O 0.500 0.500 0.000 1
Mg3 Mg 0.500 0.500 0.748 1
Mg4 Mg 0.500 0.250 0.500 1
V1 V 0.000 0.000 0.000 1
Mg5 Mg 0.000 0.500 0.500 1
Ti1 Ti 0.000 0.500 0.000 1
O5 O 0.000 0.751 0.500 1
O6 O 0.000 0.247 0.000 1
O7 O 0.500 0.250 0.751 1
O8 O 0.000 0.249 0.500 1
O9 O 0.000 0.000 0.747 1
O10 O 0.000 0.500 0.743 1
O11 O 0.500 0.750 0.249 1
Mg6 Mg 0.000 0.000 0.500 1
Mg7 Mg 0.000 0.250 0.750 1
O12 O 0.000 0.500 0.257 1
Mg8 Mg 0.500 0.752 0.000 1
O13 O 0.000 0.000 0.253 1
O14 O 0.000 0.753 0.000 1
Mg9 Mg 0.500 0.248 0.000 1
Mg10 Mg 0.000 0.750 0.750 1
Mg11 Mg 0.500 0.000 0.750 1
O15 O 0.500 0.000 0.500 1
O16 O 0.500 0.750 0.751 1
Mg12 Mg 0.500 0.500 0.252 1
Mg13 Mg 0.000 0.250 0.250 1
Mg14 Mg 0.500 0.000 0.250 1
```


Q: total DFT energy (no corrections) of number 4 (MgGa2)?
A: -0.468 Ha/atom


Q: Among the records above, which one has the lowest total DFT energy (no corrections)?
A: HgPtSe2


Q: total DFT energy (no corrections) of number 7 (K2LiY)?
A: -0.418 Ha/atom